Record 1
DFT (GGA-PBE) results for crystalline Ac4SiTeSe2 at its relaxed geometry.

Calculated values
ρ, kg/m3: 7453
Magnetic moment, μB/atom: 0.000
ΔE_f (raw), eV/atom: -1.50

Structure (CIF):
```
data_Ac4SiTeSe2
_chemical_formula_sum 'Ac4 Si1 Te1 Se2'
_cell_length_a 7.847
_cell_length_b 4.573
_cell_length_c 8.042
_cell_angle_alpha 90.00
_cell_angle_beta 109.43
_cell_angle_gamma 90.00
_symmetry_space_group_name_H-M 'P 1 2/m 1'
_symmetry_Int_Tables_number 10
_symmetry_space_group_name_Hall '-P 2y'
loop_
_atom_site_label
_atom_site_fract_x
_atom_site_fract_y
_atom_site_fract_z
Ac1 0.244 0.000 0.233
Ac2 0.254 0.500 0.770
Si1 0.000 0.500 0.000
Te1 0.000 0.000 0.500
Se1 0.500 0.000 0.000
Se2 0.500 0.500 0.500
```

Record 2
DFT (GGA-PBE) results for crystalline Ac8SiTe3Se3 at its relaxed geometry.

Calculated values
ρ, kg/m3: 7439
Magnetic moment, μB/atom: 0.000
ΔE_f (raw), eV/atom: -1.43

Structure (CIF):
```
data_Ac8SiTe3Se3
_chemical_formula_sum 'Ac24 Si3 Te9 Se9'
_cell_length_a 9.1252
_cell_length_b 9.1252
_cell_length_c 22.8786
_cell_angle_alpha 90.00
_cell_angle_beta 90.00
_cell_angle_gamma 120.00
_symmetry_space_group_name_H-M 'R -3 m'
_symmetry_Int_Tables_number 166
_symmetry_space_group_name_Hall '-R 3 2"'
loop_
_atom_site_label
_atom_site_fract_x
_atom_site_fract_y
_atom_site_fract_z
Ac1 0.0000 0.0000 0.2421
Ac2 0.0038 0.5019 0.2423
Si1 0.0000 0.0000 0.5000
Te1 0.0000 0.5000 0.0000
Se1 0.0000 0.5000 0.5000
```